# 1
A plane-wave DFT calculation with meta-GGA SCAN was carried out for a PBEsol-optimized structure of K2CdAg2.

The volume is 28.35 A^3/atom. Its crystal system is tetragonal. For the formation energy from the elements, the calculation gives 4.2 kJ/mol of atoms.

The structure belongs to space group P4/mbm (No. 127); the cell edges are 7.370, 7.370 and 5.220 Å and the angles 90.00°, 90.00° and 90.00°. Symmetry generates all atoms from K at (0.176, 0.324, 0.000), Cd at (0.000, 0.000, 0.500) and Ag at (0.132, 0.632, 0.500).


# 2
A plane-wave DFT calculation with meta-GGA SCAN was carried out for a PBEsol-optimized structure of KCd2Ag2.

The volume is 25.40 A^3/atom. Its energy above the most stable polymorph in this dataset is 0.26 eV per formula unit. Its crystal system is tetragonal. For the formation energy from the elements, the calculation gives 0.0 kJ/mol of atoms.

The structure belongs to space group I4/mmm (No. 139); the cell edges are 4.905, 4.905 and 10.561 Å and the angles 90.00°, 90.00° and 90.00°. Symmetry generates all atoms from K at (0.000, 0.000, 0.000), Cd at (0.000, 0.000, 0.368) and Ag at (0.000, 0.500, 0.250).


# 3
A plane-wave DFT calculation with meta-GGA SCAN was carried out for a PBEsol-optimized structure of KCd2Ag2.

The volume is 21.65 A^3/atom. Its energy above the most stable polymorph in this dataset is 0.00 eV per formula unit. Its crystal system is tetragonal. For the formation energy from the elements, the calculation gives -5.1 kJ/mol of atoms.

The structure belongs to space group P4/mbm (No. 127); the cell edges are 8.634, 8.634 and 2.905 Å and the angles 90.00°, 90.00° and 90.00°. Symmetry generates all atoms from K at (0.000, 0.000, 0.000), Cd at (0.124, 0.376, 0.000) and Ag at (0.171, 0.671, 0.500).


# 4
A plane-wave DFT calculation with meta-GGA SCAN was carried out for a PBEsol-optimized structure of KCdAg.

The volume is 35.49 A^3/atom. Its energy above the most stable polymorph in this dataset is 1.27 eV per formula unit. Its crystal system is cubic. For the formation energy from the elements, the calculation gives 40.8 kJ/mol of atoms.

The structure belongs to space group F-43m (No. 216); the cell edges are 7.524, 7.524 and 7.524 Å and the angles 90.00°, 90.00° and 90.00°. Symmetry generates all atoms from K at (0.000, 0.000, 0.000), Cd at (0.250, 0.250, 0.250) and Ag at (0.250, 0.250, 0.750).


# 5
A plane-wave DFT calculation with meta-GGA SCAN was carried out for a PBEsol-optimized structure of KCdAg.

The volume is 27.76 A^3/atom. Its energy above the most stable polymorph in this dataset is 0.03 eV per formula unit. Its crystal system is tetragonal. For the formation energy from the elements, the calculation gives 0.9 kJ/mol of atoms.

The structure belongs to space group I4mm (No. 107); the cell edges are 3.714, 3.714 and 12.077 Å and the angles 90.00°, 90.00° and 90.00°. Symmetry generates all atoms from K at (0.000, 0.000, 0.000), Cd at (0.000, 0.000, 0.285) and Ag at (0.000, 0.000, 0.710).


# 6
A plane-wave DFT calculation with meta-GGA SCAN was carried out for a PBEsol-optimized structure of KCdAg4.

The volume is 20.45 A^3/atom. Its crystal system is cubic. For the formation energy from the elements, the calculation gives 2.0 kJ/mol of atoms.

The structure belongs to space group F-43m (No. 216); the cell edges are 7.887, 7.887 and 7.887 Å and the angles 90.00°, 90.00° and 90.00°. Symmetry generates all atoms from K at (0.000, 0.000, 0.000), Cd at (0.250, 0.250, 0.750) and Ag at (0.124, 0.124, 0.376).


# 7
A plane-wave DFT calculation with meta-GGA SCAN was carried out for a PBEsol-optimized structure of KCdAg.

The volume is 29.38 A^3/atom. Its energy above the most stable polymorph in this dataset is 0.00 eV per formula unit. Its crystal system is hexagonal. For the formation energy from the elements, the calculation gives 0.0 kJ/mol of atoms.

The structure belongs to space group P-6m2 (No. 187); the cell edges are 4.8200, 4.8200 and 4.3808 Å and the angles 90.00°, 90.00° and 120.00°. Symmetry generates all atoms from K at (0.0000, 0.0000, 0.0000), Cd at (0.6667, 0.3333, 0.5000) and Ag at (0.3333, 0.6667, 0.5000).


# 8
A plane-wave DFT calculation with meta-GGA SCAN was carried out for a PBEsol-optimized structure of KCdAg.

The volume is 26.72 A^3/atom. Its energy above the most stable polymorph in this dataset is 0.01 eV per formula unit. Its crystal system is orthorhombic. For the formation energy from the elements, the calculation gives 0.2 kJ/mol of atoms.

The structure belongs to space group Imm2 (No. 44); the cell edges are 3.030, 4.444 and 11.907 Å and the angles 90.00°, 90.00° and 90.00°. Symmetry generates all atoms from K at (0.000, 0.000, 0.000), Cd at (0.000, 0.000, 0.285) and Ag at (0.000, 0.000, 0.713).


Question: The lowest formation energy from the elements belongs to which entry?
Answer: number 3